This record from the Alexandria database describes a relaxed PmBiPt crystal. The functional is PBE-GGA.

The calculation puts the energy above the lowest structure with this stoichiometry at 0 meV/atom. For the energy of formation from the pure elements, the calculation gives -1.0326 eV/atom. The value obtained for the electronic total energy is -5.923 eV/atom. The value obtained for the magnetic moment is 0.0 μB per cell.

It has space group F-43m (No. 216), with a = 6.8471 Å, b = 6.8471 Å, c = 6.8471 Å, α = 90.00°, β = 90.00° and γ = 90.00°. Symmetry generates all atoms from Pm at (0.0000, 0.0000, 0.0000), Bi at (0.0000, 0.0000, 0.5000) and Pt at (0.2500, 0.2500, 0.7500).